1.
Below is a relaxed structure of Dy12In5Ga2, with properties calculated at the PBE level.

Summary:
V	27.87	Å³/atom
symmetry	C2/m (12)
ΔH_f (0 K)	-0.2659	eV/atom

abc: 8.3709 8.3709 7.8223
angles: 96.69 96.69 77.71
Element x y z (fractional)
Dy  0.0778  0.0778  0.2017
Dy  0.1147  0.6567  0.1276
Dy  0.1553  0.5496  0.6790
Dy  0.3433  0.8853  0.8724
Dy  0.3773  0.3773  0.3467
Dy  0.4504  0.8447  0.3210
Dy  0.5496  0.1553  0.6790
Dy  0.6227  0.6227  0.6533
Dy  0.6567  0.1147  0.1276
Dy  0.8447  0.4504  0.3210
Dy  0.8853  0.3433  0.8724
Dy  0.9222  0.9222  0.7983
In  0.1725  0.1725  0.5863
In  0.2648  0.2648  0.9655
In  0.5000  0.5000  0.0000
In  0.7352  0.7352  0.0345
In  0.8275  0.8275  0.4137
Ga  0.1725  0.8275  0.5000
Ga  0.8275  0.1725  0.5000

2.
Below is a relaxed structure of Pr8Ga3HBr4, with properties calculated at the PBE level.

Summary:
V	28.43	Å³/atom
symmetry	C2/m (12)
VASP energy	-4.4192	eV per atom

abc: 8.4706 8.4706 8.8180
angles: 118.78 118.78 59.83
Element x y z (fractional)
Pr  0.2335  0.7509  0.7178
Pr  0.2362  0.2362  0.7210
Pr  0.2491  0.7665  0.2822
Pr  0.2562  0.2562  0.2679
Pr  0.7438  0.7438  0.7321
Pr  0.7509  0.2335  0.7178
Pr  0.7638  0.7638  0.2790
Pr  0.7665  0.2491  0.2822
Ga  0.0000  0.5000  0.5000
Ga  0.5000  0.0000  0.5000
Ga  0.5000  0.5000  0.5000
H  0.0000  0.0000  0.5000
Br  0.0000  0.0000  0.0000
Br  0.0000  0.5000  0.0000
Br  0.5000  0.0000  0.0000
Br  0.5000  0.5000  0.0000